Record 1
VASP calculation (PBE) on LaPrHgSb after structural relaxation.

Results
DFT total energy, eV per atom: -4.25
Formation energy without anion corrections, eV/atom: -0.718
DOS(E_F), states/eV/cell: 4.16

abc: 5.5109 5.5109 5.5109
angles: 60.00 60.00 60.00
Fractional coordinates of all 4 atoms:
1 La 0.0000 0.0000 0.0000
2 Pr 0.5000 0.5000 0.5000
3 Hg 0.2500 0.2500 0.2500
4 Sb 0.7500 0.7500 0.7500

Record 2
VASP calculation (PBE) on LaPrScHg after structural relaxation.

Results
DFT total energy, eV per atom: -4.19
DOS(E_F), states/eV/cell: 5.91
Formation enthalpy at 0 K, eV per formula unit: -0.41

abc: 5.5075 5.5075 5.5075
angles: 60.00 60.00 60.00
Fractional coordinates of all 4 atoms:
1 La 0.0000 0.0000 0.0000
2 Pr 0.5000 0.5000 0.5000
3 Sc 0.2500 0.2500 0.2500
4 Hg 0.7500 0.7500 0.7500

Record 3
VASP calculation (PBE) on La2PrHgSe5 after structural relaxation.

Results
DFT total energy, eV per atom: -5.15
Formation energy without anion corrections, eV/atom: -1.557
DOS(E_F), states/eV/cell: 5.68

abc: 9.1739 9.1739 13.0235
angles: 90.00 90.00 153.26
Fractional coordinates of all 18 atoms:
1 La 0.1227 0.8773 0.5000
2 La 0.1294 0.8706 0.1200
3 La 0.8706 0.1294 0.6200
4 La 0.8773 0.1227 0.0000
5 Pr 0.1923 0.8077 0.8170
6 Pr 0.8077 0.1923 0.3170
7 Hg 0.4593 0.5407 0.2860
8 Hg 0.5407 0.4593 0.7860
9 Se 0.0380 0.9620 0.9124
10 Se 0.2947 0.7053 0.4810
11 Se 0.3048 0.6952 0.1514
12 Se 0.3578 0.6422 0.8153
13 Se 0.4998 0.5002 0.0922
14 Se 0.5002 0.4998 0.5922
15 Se 0.6422 0.3578 0.3153
16 Se 0.6952 0.3048 0.6514
17 Se 0.7053 0.2947 0.9810
18 Se 0.9620 0.0380 0.4124

Record 4
VASP calculation (PBE) on LaPr2SmHg4 after structural relaxation.

Results
DFT total energy, eV per atom: -3.03
DOS(E_F), states/eV/cell: 8.89
Formation enthalpy at 0 K, eV per formula unit: -3.82

abc: 9.4701 9.4701 9.4701
angles: 33.47 33.47 33.47
Fractional coordinates of all 8 atoms:
1 La 0.0000 0.0000 0.0000
2 Pr 0.2496 0.2496 0.2496
3 Pr 0.7504 0.7504 0.7504
4 Sm 0.5000 0.5000 0.5000
5 Hg 0.1266 0.1266 0.1266
6 Hg 0.3770 0.3770 0.3770
7 Hg 0.6230 0.6230 0.6230
8 Hg 0.8734 0.8734 0.8734

Record 5
VASP calculation (PBE) on LaPrSnHg after structural relaxation.

Results
DFT total energy, eV per atom: -4.13
DOS(E_F), states/eV/cell: 3.70
Formation enthalpy at 0 K, eV per formula unit: -2.51

abc: 5.5238 5.5238 5.5238
angles: 60.00 60.00 60.00
Fractional coordinates of all 4 atoms:
1 La 0.0000 0.0000 0.0000
2 Pr 0.5000 0.5000 0.5000
3 Sn 0.7500 0.7500 0.7500
4 Hg 0.2500 0.2500 0.2500

Record 6
VASP calculation (PBE) on LaTb2PrHg4 after structural relaxation.

Results
DFT total energy, eV per atom: -2.99
DOS(E_F), states/eV/cell: 9.39
Formation enthalpy at 0 K, eV per formula unit: -3.76

abc: 9.3474 9.3474 9.3474
angles: 33.57 33.57 33.57
Fractional coordinates of all 8 atoms:
1 La 0.0000 0.0000 0.0000
2 Tb 0.2495 0.2495 0.2495
3 Tb 0.7505 0.7505 0.7505
4 Pr 0.5000 0.5000 0.5000
5 Hg 0.1255 0.1255 0.1255
6 Hg 0.3756 0.3756 0.3756
7 Hg 0.6244 0.6244 0.6244
8 Hg 0.8745 0.8745 0.8745

Record 7
VASP calculation (PBE) on La2TbPr2Hg5 after structural relaxation.

Results
DFT total energy, eV per atom: -2.88
DOS(E_F), states/eV/cell: 16.02
Formation enthalpy at 0 K, eV per formula unit: -3.25

abc: 11.2577 11.2577 4.6082
angles: 90.00 90.00 90.00
Fractional coordinates of all 20 atoms:
1 La 0.1744 0.3256 0.0000
2 La 0.3256 0.8256 0.0000
3 La 0.6744 0.1744 0.0000
4 La 0.8256 0.6744 0.0000
5 Tb 0.0000 0.0000 0.0000
6 Tb 0.5000 0.5000 0.0000
7 Pr 0.1305 0.6305 0.0000
8 Pr 0.3695 0.1305 0.0000
9 Pr 0.6305 0.8695 0.0000
10 Pr 0.8695 0.3695 0.0000
11 Hg 0.0000 0.5000 0.5000
12 Hg 0.0894 0.8238 0.5000
13 Hg 0.1762 0.0894 0.5000
14 Hg 0.3238 0.5894 0.5000
15 Hg 0.4106 0.3238 0.5000
16 Hg 0.5000 0.0000 0.5000
17 Hg 0.5894 0.6762 0.5000
18 Hg 0.6762 0.4106 0.5000
19 Hg 0.8238 0.9106 0.5000
20 Hg 0.9106 0.1762 0.5000

Record 8
VASP calculation (PBE) on LaTbPr2Hg4 after structural relaxation.

Results
DFT total energy, eV per atom: -3.01
DOS(E_F), states/eV/cell: 8.87
Formation enthalpy at 0 K, eV per formula unit: -3.79

abc: 9.4549 9.4549 9.4549
angles: 33.37 33.37 33.37
Fractional coordinates of all 8 atoms:
1 La 0.0000 0.0000 0.0000
2 Tb 0.5000 0.5000 0.5000
3 Pr 0.2495 0.2495 0.2495
4 Pr 0.7505 0.7505 0.7505
5 Hg 0.1274 0.1274 0.1274
6 Hg 0.3783 0.3783 0.3783
7 Hg 0.6217 0.6217 0.6217
8 Hg 0.8726 0.8726 0.8726

Record 9
VASP calculation (PBE) on LaPrHgTe2 after structural relaxation.

Results
DFT total energy, eV per atom: -4.45
Formation energy without anion corrections, eV/atom: -1.193
DOS(E_F), states/eV/cell: 6.33

abc: 4.5270 4.5270 15.4786
angles: 90.00 90.00 90.00
Fractional coordinates of all 10 atoms:
1 La 0.2500 0.2500 0.0957
2 La 0.7500 0.7500 0.9043
3 Pr 0.2500 0.2500 0.6725
4 Pr 0.7500 0.7500 0.3275
5 Hg 0.2500 0.7500 0.5000
6 Hg 0.7500 0.2500 0.5000
7 Te 0.2500 0.2500 0.3049
8 Te 0.2500 0.2500 0.8844
9 Te 0.7500 0.7500 0.1156
10 Te 0.7500 0.7500 0.6951

Record 10
VASP calculation (PBE) on La3Pr3TlHg2 after structural relaxation.

Results
DFT total energy, eV per atom: -3.83
DOS(E_F), states/eV/cell: 12.76
Formation enthalpy at 0 K, eV per formula unit: -2.40

abc: 9.2616 9.2616 3.8731
angles: 90.00 90.00 120.00
Fractional coordinates of all 9 atoms:
1 La 0.0000 0.7141 0.0000
2 La 0.2859 0.2859 0.0000
3 La 0.7141 0.0000 0.0000
4 Pr 0.0000 0.3901 0.5000
5 Pr 0.3901 0.0000 0.5000
6 Pr 0.6099 0.6099 0.5000
7 Tl 0.0000 0.0000 0.5000
8 Hg 0.3333 0.6667 0.0000
9 Hg 0.6667 0.3333 0.0000

Record 11
VASP calculation (PBE) on La3Pr3Tl2Hg after structural relaxation.

Results
DFT total energy, eV per atom: -4.09
DOS(E_F), states/eV/cell: 11.55
Formation enthalpy at 0 K, eV per formula unit: -2.67

abc: 9.3185 9.3185 3.8837
angles: 90.00 90.00 120.00
Fractional coordinates of all 9 atoms:
1 La 0.0000 0.3916 0.0000
2 La 0.3916 0.0000 0.0000
3 La 0.6084 0.6084 0.0000
4 Pr 0.0000 0.7234 0.5000
5 Pr 0.2766 0.2766 0.5000
6 Pr 0.7234 0.0000 0.5000
7 Tl 0.3333 0.6667 0.5000
8 Tl 0.6667 0.3333 0.5000
9 Hg 0.0000 0.0000 0.0000

Record 12
VASP calculation (PBE) on LaPrTmHg after structural relaxation.

Results
DFT total energy, eV per atom: -3.85
DOS(E_F), states/eV/cell: 5.39
Formation enthalpy at 0 K, eV per formula unit: -0.91

abc: 3.7184 3.7184 8.9427
angles: 90.00 90.00 90.00
Fractional coordinates of all 4 atoms:
1 La 0.0000 0.0000 0.0000
2 Pr 0.5000 0.5000 0.7056
3 Tm 0.5000 0.5000 0.2763
4 Hg 0.0000 0.0000 0.4649

Record 13
VASP calculation (PBE) on LaPrTmHg after structural relaxation.

Results
DFT total energy, eV per atom: -3.72
DOS(E_F), states/eV/cell: 5.80
Formation enthalpy at 0 K, eV per formula unit: -0.40

abc: 5.5730 5.5730 5.5730
angles: 60.00 60.00 60.00
Fractional coordinates of all 4 atoms:
1 La 0.0000 0.0000 0.0000
2 Pr 0.5000 0.5000 0.5000
3 Tm 0.2500 0.2500 0.2500
4 Hg 0.7500 0.7500 0.7500

Record 14
VASP calculation (PBE) on La2PrTmHg2 after structural relaxation.

Results
DFT total energy, eV per atom: -3.62
DOS(E_F), states/eV/cell: 9.35
Formation enthalpy at 0 K, eV per formula unit: -2.00

abc: 5.1717 9.6552 7.4091
angles: 90.00 90.00 90.00
Fractional coordinates of all 12 atoms:
1 La 0.0000 0.0594 0.0000
2 La 0.0000 0.9406 0.5000
3 La 0.5000 0.1707 0.3168
4 La 0.5000 0.8293 0.8168
5 Pr 0.5000 0.4421 0.9727
6 Pr 0.5000 0.5579 0.4727
7 Tm 0.0000 0.3244 0.6508
8 Tm 0.0000 0.6756 0.1508
9 Hg 0.0000 0.3680 0.2384
10 Hg 0.0000 0.6320 0.7384
11 Hg 0.5000 0.1596 0.7437
12 Hg 0.5000 0.8404 0.2437

Record 15
VASP calculation (PBE) on La5Pr2Zn2Hg after structural relaxation.

Results
DFT total energy, eV per atom: -3.90
DOS(E_F), states/eV/cell: 28.48
Formation enthalpy at 0 K, eV per formula unit: -1.91

abc: 12.8108 12.8108 3.9655
angles: 90.00 90.00 90.00
Fractional coordinates of all 20 atoms:
1 La 0.0000 0.5000 0.0000
2 La 0.0552 0.2009 0.0000
3 La 0.2009 0.9448 0.0000
4 La 0.2991 0.4448 0.0000
5 La 0.4448 0.7009 0.0000
6 La 0.5000 0.0000 0.0000
7 La 0.5552 0.2991 0.0000
8 La 0.7009 0.5552 0.0000
9 La 0.7991 0.0552 0.0000
10 La 0.9448 0.7991 0.0000
11 Pr 0.1798 0.6798 0.5000
12 Pr 0.3202 0.1798 0.5000
13 Pr 0.6798 0.8202 0.5000
14 Pr 0.8202 0.3202 0.5000
15 Zn 0.1301 0.3699 0.5000
16 Zn 0.3699 0.8699 0.5000
17 Zn 0.6301 0.1301 0.5000
18 Zn 0.8699 0.6301 0.5000
19 Hg 0.0000 0.0000 0.5000
20 Hg 0.5000 0.5000 0.5000

Record 16
VASP calculation (PBE) on LaPrZnHg after structural relaxation.

Results
DFT total energy, eV per atom: -3.20
DOS(E_F), states/eV/cell: 4.43
Formation enthalpy at 0 K, eV per formula unit: -1.52

abc: 5.4080 5.4080 5.4080
angles: 60.00 60.00 60.00
Fractional coordinates of all 4 atoms:
1 La 0.0000 0.0000 0.0000
2 Pr 0.5000 0.5000 0.5000
3 Zn 0.2500 0.2500 0.2500
4 Hg 0.7500 0.7500 0.7500

Record 17
VASP calculation (PBE) on La3Pr3ZnHg2 after structural relaxation.

Results
DFT total energy, eV per atom: -3.70
DOS(E_F), states/eV/cell: 10.90
Formation enthalpy at 0 K, eV per formula unit: -2.30

abc: 9.0677 9.0677 3.9000
angles: 90.00 90.00 120.00
Fractional coordinates of all 9 atoms:
1 La 0.0000 0.7377 0.0000
2 La 0.2623 0.2623 0.0000
3 La 0.7377 0.0000 0.0000
4 Pr 0.0000 0.4005 0.5000
5 Pr 0.4005 0.0000 0.5000
6 Pr 0.5995 0.5995 0.5000
7 Zn 0.0000 0.0000 0.5000
8 Hg 0.3333 0.6667 0.0000
9 Hg 0.6667 0.3333 0.0000

Record 18
VASP calculation (PBE) on LaPrZnHg after structural relaxation.

Results
DFT total energy, eV per atom: -3.22
DOS(E_F), states/eV/cell: 3.88
Formation enthalpy at 0 K, eV per formula unit: -1.61

abc: 3.8042 3.8042 7.6468
angles: 90.00 90.00 90.00
Fractional coordinates of all 4 atoms:
1 La 0.0000 0.0000 0.0000
2 Pr 0.0000 0.0000 0.4642
3 Zn 0.5000 0.5000 0.2375
4 Hg 0.5000 0.5000 0.7276

Record 19
VASP calculation (PBE) on La3Hg2Pt after structural relaxation.

Results
DFT total energy, eV per atom: -4.24
DOS(E_F), states/eV/cell: 5.85
Formation enthalpy at 0 K, eV per formula unit: -4.00

abc: 5.5840 3.9216 8.7229
angles: 90.00 108.62 90.00
Fractional coordinates of all 6 atoms:
1 La 0.0000 0.0000 0.0000
2 La 0.3583 0.5000 0.7164
3 La 0.6417 0.5000 0.2836
4 Hg 0.1947 0.0000 0.3894
5 Hg 0.8053 0.0000 0.6106
6 Pt 0.5000 0.0000 0.0000

Record 20
VASP calculation (PBE) on La4Hg2Pt after structural relaxation.

Results
DFT total energy, eV per atom: -4.29
DOS(E_F), states/eV/cell: 8.37
Formation enthalpy at 0 K, eV per formula unit: -3.64

abc: 5.3347 6.5613 6.5613
angles: 108.19 90.00 90.00
Fractional coordinates of all 7 atoms:
1 La 0.0000 0.0000 0.0000
2 La 0.0000 0.4432 0.4432
3 La 0.5000 0.2213 0.7273
4 La 0.5000 0.7273 0.2213
5 Hg 0.0000 0.4957 0.9493
6 Hg 0.0000 0.9493 0.4957
7 Pt 0.5000 0.2157 0.2157

Record 21
VASP calculation (PBE) on La2HgPt after structural relaxation.

Results
DFT total energy, eV per atom: -4.64
DOS(E_F), states/eV/cell: 4.36
Formation enthalpy at 0 K, eV per formula unit: -2.36

abc: 6.0568 6.0568 6.0568
angles: 136.57 136.57 63.10
Fractional coordinates of all 4 atoms:
1 La 0.0000 0.0000 0.0000
2 La 0.7500 0.2500 0.5000
3 Hg 0.5000 0.5000 0.0000
4 Pt 0.2500 0.7500 0.5000

Record 22
VASP calculation (PBE) on LaHg3Pt after structural relaxation.

Results
DFT total energy, eV per atom: -1.38
DOS(E_F), states/eV/cell: 5.29
Formation enthalpy at 0 K, eV per formula unit: 5.00

abc: 5.9040 5.9040 5.9040
angles: 90.00 90.00 90.00
Fractional coordinates of all 5 atoms:
1 La 0.0000 0.0000 0.0000
2 Hg 0.0000 0.0000 0.5000
3 Hg 0.0000 0.5000 0.0000
4 Hg 0.5000 0.0000 0.0000
5 Pt 0.5000 0.5000 0.5000

Record 23
VASP calculation (PBE) on LaHgPt after structural relaxation.

Results
DFT total energy, eV per atom: -4.55
DOS(E_F), states/eV/cell: 2.59
Formation enthalpy at 0 K, eV per formula unit: -2.37

abc: 4.8792 4.8792 4.8792
angles: 60.00 60.00 60.00
Fractional coordinates of all 3 atoms:
1 La 0.0000 0.0000 0.0000
2 Hg 0.5000 0.5000 0.5000
3 Pt 0.2500 0.2500 0.2500

Record 24
VASP calculation (PBE) on La2HgPt after structural relaxation.

Results
DFT total energy, eV per atom: -4.76
DOS(E_F), states/eV/cell: 2.31
Formation enthalpy at 0 K, eV per formula unit: -2.85

abc: 8.1531 8.1531 8.1531
angles: 152.38 150.89 40.55
Fractional coordinates of all 4 atoms:
1 La 0.0000 0.0000 0.0000
2 La 0.7213 0.2213 0.5000
3 Hg 0.3923 0.3923 0.0000
4 Pt 0.1474 0.6474 0.5000

Record 25
VASP calculation (PBE) on La2HgPt after structural relaxation.

Results
DFT total energy, eV per atom: -4.43
DOS(E_F), states/eV/cell: 5.38
Formation enthalpy at 0 K, eV per formula unit: -1.51

abc: 9.0292 9.0292 9.0292
angles: 26.29 26.29 26.29
Fractional coordinates of all 4 atoms:
1 La 0.0000 0.0000 0.0000
2 La 0.2058 0.2058 0.2058
3 Hg 0.7521 0.7521 0.7521
4 Pt 0.4778 0.4778 0.4778